1.
A geometry-optimized Ag2Pb2Au15 structure. Source: Alexandria via LeMat-Bulk, functional PBE-GGA.

It has space group R-3m (No. 166, hexagonal axes), with a = 9.7053 Å, b = 9.7053 Å, c = 14.2321 Å, α = 90.00°, β = 90.00° and γ = 120.00°. Symmetry generates all atoms from Ag at (0.0000, 0.0000, 0.1004), Pb at (0.0000, 0.0000, 0.3496), Au at (0.0000, 0.3054, 0.0000), Au at (0.0000, 0.5000, 0.5000) and Au at (0.0035, 0.5018, 0.1530).

Its calculated formation energy is 8 meV/atom.


2.
A geometry-optimized BeSiCl structure. Source: Alexandria via LeMat-Bulk, functional PBE-GGA.

It has space group C2/m (No. 12), with a = 11.5568 Å, b = 3.6917 Å, c = 6.9307 Å, α = 90.00°, β = 120.84° and γ = 90.00°. Symmetry generates all atoms from Be at (0.1052, 0.0000, 0.2129), Si at (0.1807, 0.5000, 0.4811) and Cl at (0.0973, 0.0000, 0.9125).

The calculation puts the raw formation energy at -235 meV per atom. Its energy above the most stable polymorph in this dataset is 0.037 eV/atom.


3.
A geometry-optimized Na4CeNp3Te8 structure. Source: Alexandria via LeMat-Bulk, functional PBE-GGA.

It has space group R-3m (No. 166, hexagonal axes), with a = 9.0138 Å, b = 9.0138 Å, c = 22.5170 Å, α = 90.00°, β = 90.00° and γ = 120.00°. Symmetry generates all atoms from Na at (0.0000, 0.0000, 0.0000), Na at (0.0000, 0.5000, 0.0000), Ce at (0.0000, 0.0000, 0.5000), Np at (0.0000, 0.5000, 0.5000), Te at (0.0000, 0.0000, 0.2442) and Te at (0.0028, 0.5014, 0.7545).

The calculation puts the raw formation energy at -925 meV per atom.


4.
A geometry-optimized Sc3BeW structure. Source: Alexandria via LeMat-Bulk, functional PBE-GGA.

It has space group Pm-3m (No. 221), with a = 5.0439 Å, b = 5.0439 Å, c = 5.0439 Å, α = 90.00°, β = 90.00° and γ = 90.00°. Symmetry generates all atoms from Sc at (0.0000, 0.0000, 0.5000), Be at (0.5000, 0.5000, 0.5000) and W at (0.0000, 0.0000, 0.0000).

Its calculated formation energy is 992 meV/atom. Its energy above the most stable polymorph in this dataset is 0.170 eV/atom.


5.
A geometry-optimized Ti13Sn2 structure. Source: Alexandria via LeMat-Bulk, functional PBE-GGA.

It has space group R-3m (No. 166, hexagonal axes), with a = 7.1782 Å, b = 7.1782 Å, c = 21.6088 Å, α = 90.00°, β = 90.00° and γ = 120.00°. Symmetry generates all atoms from Ti at (0.0000, 0.0000, 0.0000), Ti at (0.0818, 0.5409, 0.4218), Ti at (0.0835, 0.5417, 0.2992) and Sn at (0.0000, 0.0000, 0.1357).

Its calculated formation energy is 399 meV/atom.


6.
A geometry-optimized Ga2Te structure. Source: Alexandria via LeMat-Bulk, functional PBE-GGA.

It has space group C2/m (No. 12), with a = 5.7084 Å, b = 5.6923 Å, c = 5.3981 Å, α = 90.00°, β = 121.67° and γ = 90.00°. Symmetry generates all atoms from Ga at (0.1597, 0.0000, 0.3216) and Te at (0.0000, 0.5000, 0.0000).

The calculation puts the raw formation energy at 25 meV per atom. Its energy above the most stable polymorph in this dataset is 0.000 eV/atom.


7.
A geometry-optimized LiAcErAg structure. Source: Alexandria via LeMat-Bulk, functional PBE-GGA.

It has space group F-43m (No. 216), with a = 7.6504 Å, b = 7.6504 Å, c = 7.6504 Å, α = 90.00°, β = 90.00° and γ = 90.00°. Symmetry generates all atoms from Li at (0.0000, 0.0000, 0.0000), Ac at (0.2500, 0.2500, 0.7500), Er at (0.2500, 0.2500, 0.2500) and Ag at (0.0000, 0.0000, 0.5000).

Its calculated formation energy is -38 meV/atom.


8.
A geometry-optimized Dy2Ga3Pt5 structure. Source: Alexandria via LeMat-Bulk, functional PBE-GGA.

It has space group Ibam (No. 72), with a = 11.3237 Å, b = 11.4985 Å, c = 5.7020 Å, α = 90.00°, β = 90.00° and γ = 90.00°. Symmetry generates all atoms from Dy at (0.2255, 0.1360, 0.0000), Ga at (0.0000, 0.5000, 0.2500), Ga at (0.1175, 0.1379, 0.5000), Pt at (0.0000, 0.0000, 0.2500), Pt at (0.0000, 0.2740, 0.2500) and Pt at (0.1715, 0.4026, 0.0000).

Its calculated formation energy is -940 meV/atom. Its energy above the most stable polymorph in this dataset is 0.023 eV/atom.


9.
A geometry-optimized NdSm4S7 structure. Source: Alexandria via LeMat-Bulk, functional PBE-GGA.

It has space group Cm (No. 8), with a = 13.2692 Å, b = 3.9126 Å, c = 11.8605 Å, α = 90.00°, β = 104.76° and γ = 90.00°. Symmetry generates all atoms from Nd at (0.0000, 0.0000, 0.0000), Sm at (0.1120, 0.0000, 0.4212), Sm at (0.2233, 0.0000, 0.8400), Sm at (0.3116, 0.5000, 0.2327), Sm at (0.4121, 0.0000, 0.6087), S at (0.0683, 0.0000, 0.6353), S at (0.1126, 0.5000, 0.9183), S at (0.1557, 0.0000, 0.2074), S at (0.2711, 0.5000, 0.4713), S at (0.3509, 0.5000, 0.7702), S at (0.3686, 0.0000, 0.0693) and S at (0.4530, 0.0000, 0.3700).

The calculation puts the raw formation energy at -2054 meV per atom.


10.
A geometry-optimized Na3LiI structure. Source: Alexandria via LeMat-Bulk, functional PBE-GGA.

It has space group Pm-3m (No. 221), with a = 6.0924 Å, b = 6.0924 Å, c = 6.0924 Å, α = 90.00°, β = 90.00° and γ = 90.00°. Symmetry generates all atoms from Na at (0.0000, 0.0000, 0.5000), Li at (0.5000, 0.5000, 0.5000) and I at (0.0000, 0.0000, 0.0000).

The calculation puts the raw formation energy at -191 meV per atom. Its energy above the most stable polymorph in this dataset is 0.000 eV/atom.


11.
A geometry-optimized MgTaOs structure. Source: Alexandria via LeMat-Bulk, functional PBE-GGA.

It has space group F-43m (No. 216), with a = 6.1638 Å, b = 6.1638 Å, c = 6.1638 Å, α = 90.00°, β = 90.00° and γ = 90.00°. Symmetry generates all atoms from Mg at (0.0000, 0.0000, 0.0000), Ta at (0.0000, 0.0000, 0.5000) and Os at (0.2500, 0.2500, 0.2500).

Its calculated formation energy is 285 meV/atom. Its energy above the most stable polymorph in this dataset is 0.276 eV/atom.


12.
A geometry-optimized ZnNi2Sb structure. Source: Alexandria via LeMat-Bulk, functional PBE-GGA.

It has space group R-3m (No. 166, hexagonal axes), with a = 3.0763 Å, b = 3.0763 Å, c = 22.4811 Å, α = 90.00°, β = 90.00° and γ = 120.00°. Symmetry generates all atoms from Zn at (0.0000, 0.0000, 0.0000), Ni at (0.0000, 0.0000, 0.2525) and Sb at (0.0000, 0.0000, 0.5000).

The calculation puts the raw formation energy at 108 meV per atom.


What is the formula in the third record?
Na4CeNp3Te8